A plane-wave DFT calculation with PBE-GGA was carried out for a geometry-optimized ZrBe2Cl structure.

a = 3.8041 Å, b = 3.0313 Å, c = 5.5875 Å
α = 90.01°, β = 90.00°, γ = 90.00°
Closest atoms and distances in Å follow each position.
Positions (direct):
Be: 0.0000 0.2499 0.0219  2 Be 2.07
Be: 0.5000 0.2501 0.1681  2 Be 2.07
Zr: 0.5000 0.7499 0.8051  6 Be 2.53-2.72
Cl: 0.0000 0.2500 0.5048  4 Be 2.68-2.89, 4 Zr 2.95

Output
The value obtained for the total moment is 0.000 μB/atom. Its symmetry is Pmm2, No. 25. Its raw total energy is -4.401 eV/atom. Its energy relative to the elements, uncorrected is 0.25 eV/f.u. The mass density is 3.7 g cm⁻³. Its relative energy among the computed polymorphs is 1.33 eV/f.u.